Here is an optimized crystal structure of YZnPt2 from the Alexandria database. Energies are from GGA-PBE.

a = 3.633 Å, b = 3.646 Å, c = 5.667 Å
α = 90.00°, β = 90.00°, γ = 90.00°
Space group Pmm2 (No. 25)
Inequivalent atoms, fractional coordinates:
Y: 0.000 0.000 0.000 [1 per cell]
Zn: 0.500 0.500 0.328 [1 per cell]
Pt: 0.000 0.000 0.484 [1 per cell]
Pt: 0.500 0.500 0.784 [1 per cell]

## Properties
Electronic total energy: -0.20869 Ha/atom
ΔH_f (0 K): -0.724 eV per atom
DOS at the Fermi energy: 1.10 states/eV per cell